[1]
{
  "formula": "SrLa4Cr5O15",
  "functional": "PBEsol",
  "state": "optimized geometry",
  "cell": [[5.4257, 0.0000, 0.0000], [0.0000, 6.6531, -0.0158], [-2.7129, -2.1977, 7.8424]],
  "species": ["Sr", "La", "La", "La", "La", "Cr", "Cr", "Cr", "Cr", "Cr", "O", "O", "O", "O", "O", "O", "O", "O", "O", "O", "O", "O", "O", "O", "O"],
  "fractional_positions": [[0.3997, 0.1001, 0.7993], [0.9985, 0.5043, 0.9970], [0.8008, 0.6961, 0.6017], [0.5990, 0.8964, 0.1980], [0.2002, 0.3037, 0.4003], [0.6001, 0.3984, 0.2003], [0.1992, 0.8019, 0.3983], [0.3996, 0.6000, 0.7993], [0.7999, 0.2000, 0.5997], [0.9993, 0.0001, 0.9987], [0.8994, 0.0991, 0.7987], [0.8996, 0.6001, 0.2993], [0.3996, 0.6001, 0.2993], [0.7056, 0.3224, 0.4112], [0.0937, 0.8779, 0.1873], [0.2975, 0.6946, 0.5951], [0.5018, 0.5056, 0.0035], [0.0954, 0.4055, 0.7009], [0.7039, 0.7944, 0.8979], [0.6055, 0.4055, 0.7009], [0.1940, 0.7944, 0.8979], [0.3044, 0.1949, 0.1153], [0.4946, 0.0055, 0.4829], [0.9883, 0.0055, 0.4829], [0.8109, 0.1949, 0.1153]],
  "e_form_raw_mev_per_atom": -2703,
  "crystal_system": "monoclinic"
}

[2]
{
  "formula": "La3Ti3CrO12",
  "functional": "PBEsol",
  "state": "optimized geometry",
  "cell": [[5.4331, 0.0032, -0.0041], [0.0045, 5.4677, 0.0075], [-0.0022, 0.0277, 7.7188]],
  "species": ["La", "La", "La", "Ti", "Ti", "Ti", "Cr", "O", "O", "O", "O", "O", "O", "O", "O", "O", "O", "O", "O"],
  "fractional_positions": [[0.5085, 0.4895, 0.7373], [0.4949, 0.4940, 0.2499], [0.9932, 0.9956, 0.2607], [0.4980, 0.9974, 0.9919], [0.4972, 0.9994, 0.5073], [0.0001, 0.5009, 0.9837], [0.0002, 0.4975, 0.5021], [0.4995, 0.9365, 0.7527], [0.7483, 0.2574, 0.9846], [0.7419, 0.2550, 0.5167], [0.2797, 0.2833, 0.9787], [0.2629, 0.2606, 0.5203], [0.9944, 0.5464, 0.7496], [0.0064, 0.4359, 0.2516], [0.7414, 0.7406, 0.4624], [0.7392, 0.7454, 0.0420], [0.2531, 0.7452, 0.4639], [0.2417, 0.7650, 0.0443], [0.4980, 0.0524, 0.2505]],
  "e_form_raw_mev_per_atom": -3163,
  "crystal_system": "triclinic"
}

[3]
{
  "formula": "La2TiCrO6",
  "functional": "PBEsol",
  "state": "optimized geometry",
  "cell": [[5.5004, -0.0395, -0.0495], [0.0386, 5.4846, -0.0104], [0.0697, 0.0175, 7.7524]],
  "species": ["Cr", "Cr", "La", "La", "La", "La", "O", "O", "O", "O", "O", "O", "O", "O", "O", "O", "O", "O", "Ti", "Ti"],
  "fractional_positions": [[0.5000, 0.5000, 0.0000], [0.0000, 0.0000, 0.5000], [0.4665, 0.0054, 0.2504], [0.0336, 0.5053, 0.7503], [0.5335, 0.9946, 0.7496], [0.9664, 0.4947, 0.2497], [0.7839, 0.7180, 0.5346], [0.2178, 0.2850, 0.0337], [0.7182, 0.2154, 0.4666], [0.2844, 0.7824, 0.9657], [0.9917, 0.0637, 0.7488], [0.5089, 0.5637, 0.2488], [0.2818, 0.7846, 0.5334], [0.7156, 0.2176, 0.0343], [0.0083, 0.9363, 0.2512], [0.4911, 0.4363, 0.7512], [0.2161, 0.2820, 0.4654], [0.7822, 0.7150, 0.9663], [0.0000, 0.0000, 0.0000], [0.5000, 0.5000, 0.5000]],
  "e_form_raw_mev_per_atom": -3056,
  "crystal_system": "monoclinic"
}

[4]
{
  "formula": "La2TiCrO6",
  "functional": "PBEsol",
  "state": "optimized geometry",
  "cell": [[-1.1536, -1.0399, 5.2144], [1.9614, -4.5330, 2.2818], [3.9579, 0.4146, 3.7102]],
  "species": ["La", "La", "Ti", "Cr", "O", "O", "O", "O", "O", "O"],
  "fractional_positions": [[0.2509, 0.2509, 0.2509], [0.7491, 0.7491, 0.7491], [0.0000, 0.0000, 0.0000], [0.5000, 0.5000, 0.5000], [0.6899, 0.8075, 0.2515], [0.8075, 0.2515, 0.6899], [0.2515, 0.6899, 0.8075], [0.1925, 0.7485, 0.3101], [0.7485, 0.3101, 0.1925], [0.3101, 0.1925, 0.7485]],
  "e_form_raw_mev_per_atom": -3050,
  "crystal_system": "trigonal"
}